# MoSe2N2 | the Alexandria database | PBE | relaxed
data_MoSe2N2
_cell_length_a 4.2115
_cell_length_b 4.2115
_cell_length_c 3.8415
_cell_angle_alpha 90.00
_cell_angle_beta 90.00
_cell_angle_gamma 90.00
_space_group_name_H-M_alt 'P 4/m m m'
_space_group_IT_number 123
_space_group_name_Hall '-P 4 2'
loop_
_atom_site_label
_atom_site_fract_x
_atom_site_fract_y
_atom_site_fract_z
Mo1 0.0000 0.0000 0.0000
Se1 0.0000 0.5000 0.5000
N1 0.5000 0.5000 0.0000
N2 0.5000 0.5000 0.5000
# - volume (Å³/atom) = 13.63
# - energy above the lowest structure with this stoichiometry (kJ/mol of atoms) = 180.2
# - raw formation energy (eV/atom) = 1.62

# MoSe2N2 | the Alexandria database | PBE | relaxed
data_MoSe2N2
_cell_length_a 5.7398
_cell_length_b 3.3137
_cell_length_c 12.3808
_cell_angle_alpha 90.00
_cell_angle_beta 96.52
_cell_angle_gamma 90.00
_space_group_name_H-M_alt 'C 1 2/m 1'
_space_group_IT_number 12
loop_
_space_group_symop_operation_xyz
'x,y,z'
'-x,-y,-z'
'-x,y,-z'
'x,-y,z'
'x+1/2,y+1/2,z'
'-x+1/2,-y+1/2,-z'
'-x+1/2,y+1/2,-z'
'x+1/2,-y+1/2,z'
loop_
_atom_site_label
_atom_site_fract_x
_atom_site_fract_y
_atom_site_fract_z
Mo1 0.0000 0.0000 0.0000
Se1 0.2008 0.5000 0.1394
N1 0.0157 0.5000 0.5452
# - volume (Å³/atom) = 23.40
# - energy above the lowest structure with this stoichiometry (kJ/mol of atoms) = 0.0
# - raw formation energy (eV/atom) = -0.25

# MoSeN3 | the Alexandria database | PBE | relaxed
data_MoSeN3
_cell_length_a 3.7490
_cell_length_b 3.7490
_cell_length_c 3.7490
_cell_angle_alpha 90.00
_cell_angle_beta 90.00
_cell_angle_gamma 90.00
_space_group_name_H-M_alt 'P m -3 m'
_space_group_IT_number 221
_space_group_name_Hall '-P 4 2 3'
loop_
_atom_site_label
_atom_site_fract_x
_atom_site_fract_y
_atom_site_fract_z
Mo1 0.0000 0.0000 0.0000
Se1 0.5000 0.5000 0.5000
N1 0.0000 0.5000 0.5000
# - volume (Å³/atom) = 10.54
# - raw formation energy (eV/atom) = 1.84